(1)
This record from Alexandria via LeMat-Bulk describes crystalline BaAlZn2 at its relaxed geometry. The functional is PBEsol.

Geometry as CIF:
```
data_BaAlZn2
_chemical_formula_sum 'Ba1 Al1 Zn2'
_cell_length_a 6.3619
_cell_length_b 6.3619
_cell_length_c 6.3619
_cell_angle_alpha 40.33
_cell_angle_beta 40.33
_cell_angle_gamma 40.33
_space_group_name_H-M_alt 'P 1'
_space_group_IT_number 1
loop_
_space_group_symop_operation_xyz
'x,y,z'
loop_
_atom_site_label
_atom_site_fract_x
_atom_site_fract_y
_atom_site_fract_z
_atom_site_occupancy
Ba1 0.0000 0.0000 0.0000 1
Al1 0.5000 0.5000 0.5000 1
Zn1 0.1979 0.1979 0.1979 1
Zn2 0.8021 0.8021 0.8021 1
```

Summary:
- density of states at the Fermi level (states/eV per cell) = 2.593
- energy relative to the elements (eV/atom) = -0.17
- space-group type = R-3m (166)
- E_tot (eV per cell) = -10.10

---

(2)
This record from Alexandria via LeMat-Bulk describes crystalline Ba3AlZn at its relaxed geometry. The functional is PBEsol.

Geometry as CIF:
```
data_Ba3AlZn
_chemical_formula_sum 'Ba3 Al1 Zn1'
_cell_length_a 6.1413
_cell_length_b 6.1413
_cell_length_c 6.1413
_cell_angle_alpha 90.00
_cell_angle_beta 90.00
_cell_angle_gamma 90.00
_space_group_name_H-M_alt 'P 1'
_space_group_IT_number 1
loop_
_space_group_symop_operation_xyz
'x,y,z'
loop_
_atom_site_label
_atom_site_fract_x
_atom_site_fract_y
_atom_site_fract_z
_atom_site_occupancy
Ba1 0.0000 0.0000 0.5000 1
Ba2 0.0000 0.5000 0.0000 1
Ba3 0.5000 0.0000 0.0000 1
Al1 0.5000 0.5000 0.5000 1
Zn1 0.0000 0.0000 0.0000 1
```

Summary:
- density of states at the Fermi level (states/eV per cell) = 5.508
- energy relative to the elements (eV/atom) = 0.31
- space-group type = Pm-3m (221)
- E_tot (eV per cell) = -10.58

---

(3)
This record from Alexandria via LeMat-Bulk describes crystalline BaAlZn2 at its relaxed geometry. The functional is PBEsol.

Geometry as CIF:
```
data_BaAlZn2
_chemical_formula_sum 'Ba1 Al1 Zn2'
_cell_length_a 3.3467
_cell_length_b 4.3119
_cell_length_c 6.6465
_cell_angle_alpha 90.00
_cell_angle_beta 102.51
_cell_angle_gamma 90.00
_space_group_name_H-M_alt 'P 1'
_space_group_IT_number 1
loop_
_space_group_symop_operation_xyz
'x,y,z'
loop_
_atom_site_label
_atom_site_fract_x
_atom_site_fract_y
_atom_site_fract_z
_atom_site_occupancy
Ba1 0.0000 0.0000 0.0000 1
Al1 0.5000 0.0000 0.5000 1
Zn1 0.3128 0.5000 0.6723 1
Zn2 0.6872 0.5000 0.3277 1
```

Summary:
- density of states at the Fermi level (states/eV per cell) = 2.142
- energy relative to the elements (eV/atom) = 0.02
- space-group type = P2/m (10)
- E_tot (eV per cell) = -9.34

---

(4)
This record from Alexandria via LeMat-Bulk describes crystalline BaAl2Zn at its relaxed geometry. The functional is PBEsol.

Geometry as CIF:
```
data_BaAl2Zn
_chemical_formula_sum 'Ba1 Al2 Zn1'
_cell_length_a 3.2465
_cell_length_b 4.2647
_cell_length_c 7.0912
_cell_angle_alpha 90.00
_cell_angle_beta 102.44
_cell_angle_gamma 90.00
_space_group_name_H-M_alt 'P 1'
_space_group_IT_number 1
loop_
_space_group_symop_operation_xyz
'x,y,z'
loop_
_atom_site_label
_atom_site_fract_x
_atom_site_fract_y
_atom_site_fract_z
_atom_site_occupancy
Ba1 0.0000 0.0000 0.0000 1
Al1 0.3275 0.5000 0.6699 1
Al2 0.6725 0.5000 0.3301 1
Zn1 0.5000 0.0000 0.5000 1
```

Summary:
- density of states at the Fermi level (states/eV per cell) = 1.555
- energy relative to the elements (eV/atom) = -0.01
- space-group type = P2/m (10)
- E_tot (eV per cell) = -11.95

---

(5)
This record from Alexandria via LeMat-Bulk describes crystalline BaAlZn2 at its relaxed geometry. The functional is PBEsol.

Geometry as CIF:
```
data_BaAlZn2
_chemical_formula_sum 'Ba1 Al1 Zn2'
_cell_length_a 4.3226
_cell_length_b 4.3226
_cell_length_c 6.5218
_cell_angle_alpha 109.55
_cell_angle_beta 109.55
_cell_angle_gamma 60.33
_space_group_name_H-M_alt 'P 1'
_space_group_IT_number 1
loop_
_space_group_symop_operation_xyz
'x,y,z'
loop_
_atom_site_label
_atom_site_fract_x
_atom_site_fract_y
_atom_site_fract_z
_atom_site_occupancy
Ba1 0.0000 0.0000 0.0000 1
Al1 0.1980 0.1980 0.5954 1
Zn1 0.4902 0.4902 0.4723 1
Zn2 0.8060 0.8060 0.4191 1
```

Summary:
- density of states at the Fermi level (states/eV per cell) = 3.443
- energy relative to the elements (eV/atom) = -0.16
- space-group type = Cm (8)
- E_tot (eV per cell) = -10.04

---

(6)
This record from Alexandria via LeMat-Bulk describes crystalline BaAl2Zn at its relaxed geometry. The functional is PBEsol.

Geometry as CIF:
```
data_BaAl2Zn
_chemical_formula_sum 'Ba1 Al2 Zn1'
_cell_length_a 6.5502
_cell_length_b 6.5502
_cell_length_c 6.5502
_cell_angle_alpha 39.24
_cell_angle_beta 39.24
_cell_angle_gamma 39.24
_space_group_name_H-M_alt 'P 1'
_space_group_IT_number 1
loop_
_space_group_symop_operation_xyz
'x,y,z'
loop_
_atom_site_label
_atom_site_fract_x
_atom_site_fract_y
_atom_site_fract_z
_atom_site_occupancy
Ba1 0.0000 0.0000 0.0000 1
Al1 0.2059 0.2059 0.2059 1
Al2 0.4808 0.4808 0.4808 1
Zn1 0.8045 0.8045 0.8045 1
```

Summary:
- density of states at the Fermi level (states/eV per cell) = 2.216
- energy relative to the elements (eV/atom) = -0.14
- space-group type = R3m (160)
- E_tot (eV per cell) = -12.47

---

no.,theoretical density (g/cm3)
1,5.039
2,3.616
3,5.234
4,4.446
5,5.020
6,4.213